Entry 1:
# TbPm6Pr2Dy, optimized geometry, DFT PBE-GGA
# DFT total energy   -4.615 eV/atom
# DOS(E_F)   14.8 states/eV/f.u.
# Energy of formation from the pure elements   0.115 eV/atom
data_TbPm6Pr2Dy
_chemical_formula_sum 'Tb4 Pm24 Pr8 Dy4'
_cell_length_a 9.1962
_cell_length_b 15.3551
_cell_length_c 9.8990
_cell_angle_alpha 90.00
_cell_angle_beta 98.91
_cell_angle_gamma 90.00
_space_group_name_H-M_alt 'C 1 2/c 1'
_space_group_IT_number 15
_space_group_name_Hall '-C 2yc'
loop_
_atom_site_label
_atom_site_type_symbol
_atom_site_fract_x
_atom_site_fract_y
_atom_site_fract_z
Tb1 Tb 0.0000 0.0179 0.2500
Pm1 Pm 0.0643 0.1873 0.9440
Pm2 Pm 0.1032 0.3959 0.1201
Pm3 Pm 0.2028 0.2214 0.3111
Pr1 Pr 0.2443 0.0509 0.5414
Dy1 Dy 0.0000 0.4074 0.7500

Entry 2:
# TbPm6PrDy2, optimized geometry, DFT PBE-GGA
# DFT total energy   -4.595 eV/atom
# DOS(E_F)   14.8 states/eV/f.u.
# Energy of formation from the pure elements   0.117 eV/atom
data_TbPm6PrDy2
_chemical_formula_sum 'Tb4 Pm24 Pr4 Dy8'
_cell_length_a 9.2424
_cell_length_b 15.3010
_cell_length_c 9.7428
_cell_angle_alpha 90.00
_cell_angle_beta 97.95
_cell_angle_gamma 90.00
_space_group_name_H-M_alt 'C 1 2/c 1'
_space_group_IT_number 15
_space_group_name_Hall '-C 2yc'
loop_
_atom_site_label
_atom_site_type_symbol
_atom_site_fract_x
_atom_site_fract_y
_atom_site_fract_z
Tb1 Tb 0.0000 0.0282 0.2500
Pm1 Pm 0.0644 0.1780 0.9446
Pm2 Pm 0.0990 0.3927 0.1203
Pm3 Pm 0.2062 0.2258 0.3170
Pr1 Pr 0.0000 0.4063 0.7500
Dy1 Dy 0.2445 0.0491 0.5454